A relaxed structure of HoMgGa2Pd4, computed with PBE.

Unit cell a=4.5584 b=4.5584 c=22.2516 alpha=90.00 beta=90.00 gamma=120.00
Space group R-3m (No. 166, hexagonal axes)
Symmetry-distinct sites (fractional):
Ho (0.0000, 0.0000, 0.0000) x3
Mg (0.0000, 0.0000, 0.5000) x3
Ga (0.0000, 0.0000, 0.2488) x6
Pd (0.0000, 0.0000, 0.1282) x6
Pd (0.0000, 0.0000, 0.3809) x6

Values from the calculation:
Calculated density   9.4 g/cm³
Crystal system   trigonal
Formation energy   -750 meV/atom